P:
Entry from the Alexandria database: crystalline Mg4CdCo at its relaxed geometry (PBE-GGA).

Geometry as extended XYZ:
```
12
Lattice="-0.1508 4.4040 -2.6092 -1.8858 -3.5110 -5.8209 -5.4514 0.3412 5.8362" Properties=species:S:1:pos:R:3 pbc="T T T"
Mg -4.3396 2.7284 -0.2403
Mg -2.1401 1.5285 -2.3344
Mg -5.8318 -0.3698 4.6552
Mg -4.3915 1.4892 2.6952
Mg -3.1484 -1.4942 -2.3537
Mg -5.3479 -0.2944 -0.2596
Mg -1.6562 1.6040 -7.2492
Mg -3.0965 -0.2550 -5.2892
Cd -2.4966 0.3023 0.6265
Cd -4.9914 0.9319 -3.2204
Co -1.0525 1.4224 -4.7929
Co -6.4355 -0.1882 2.1989
```

Properties
V in Å³/f.u.: 121.31

Q:
Entry from the Alexandria database: crystalline Mg4CdCo at its relaxed geometry (PBE-GGA).

Geometry as extended XYZ:
```
6
Lattice="0.0000 3.9355 3.9355 3.9355 0.0000 3.9355 3.9355 3.9355 0.0000" Properties=species:S:1:pos:R:3 pbc="T T T"
Mg 2.9473 4.9237 4.9237
Mg 4.9237 4.9237 2.9473
Mg 4.9237 2.9473 4.9237
Mg 2.9473 2.9473 2.9473
Cd 5.9032 5.9032 5.9032
Co 0.0000 0.0000 0.0000
```

Properties
V in Å³/f.u.: 121.91

Stability, descending: P, Q

P:
Entry from the Alexandria database: crystalline Mg2CdCo2 at its relaxed geometry (PBE-GGA).

Geometry as extended XYZ:
```
10
Lattice="-2.7000 -2.4159 5.3927 4.8536 -4.2884 0.5089 2.0277 2.5510 2.1580" Properties=species:S:1:pos:R:3 pbc="T T T"
Mg 3.8049 -2.0026 2.3317
Mg 3.2399 -3.9041 5.1103
Mg 0.3764 -2.1506 5.7280
Mg 0.9414 -0.2491 2.9493
Co 3.2451 -4.6914 2.4967
Co 0.6337 -4.7849 5.0608
Co -1.0914 -2.0128 3.4049
Co 1.5199 -1.9194 0.8408
Cd 0.0000 0.0000 0.0000
Cd 1.0768 -3.3521 2.9508
```

Properties
V in Å³/f.u.: 82.48

Q:
Entry from the Alexandria database: crystalline Mg2CdCo2 at its relaxed geometry (PBE-GGA).

Geometry as extended XYZ:
```
10
Lattice="7.5365 0.0000 0.0000 0.0000 7.5365 0.0000 0.0000 0.0000 2.8180" Properties=species:S:1:pos:R:3 pbc="T T T"
Mg 2.7670 6.5352 0.0000
Mg 6.5352 4.7695 0.0000
Mg 4.7695 1.0013 0.0000
Mg 1.0013 2.7670 0.0000
Co 1.2324 5.0006 1.4090
Co 5.0006 6.3041 1.4090
Co 6.3041 2.5359 1.4090
Co 2.5359 1.2324 1.4090
Cd 0.0000 0.0000 0.0000
Cd 3.7682 3.7682 0.0000
```

Properties
V in Å³/f.u.: 80.03

Stability, descending: P, Q